<A>
First-principles (PBE-GGA) data for a geometry-optimized CaEu2Rh structure, as listed in Alexandria.

Values from the calculation:
Total moment in μB per cell: 14.24
Density in Mg/m³: 5.078

abc: 3.966 3.966 10.968
angles: 79.58 79.58 60.00
Fractional positions:
1 Rh 0.500 0.500 0.500
2 Eu 0.114 0.114 0.657
3 Ca 0.000 0.000 0.000
4 Eu 0.886 0.886 0.343

<B>
First-principles (PBE-GGA) data for a geometry-optimized CaEu2Rh structure, as listed in Alexandria.

Values from the calculation:
Total moment in μB per cell: 14.50
Density in Mg/m³: 5.940

abc: 3.620 3.620 9.535
angles: 90.00 90.00 90.00
Fractional positions:
1 Eu 0.000 0.000 0.176
2 Rh 0.500 0.500 0.000
3 Ca 0.500 0.500 0.500
4 Eu 0.000 0.000 0.824

Energy relative to the most stable one, in meV per atom: <A> 135; <B> 0

<A>
First-principles (PBE-GGA) data for a geometry-optimized CaEu2Ru structure, as listed in Alexandria.

Values from the calculation:
Total moment in μB per cell: 14.31
Density in Mg/m³: 5.590

abc: 3.711 3.711 11.291
angles: 80.54 80.54 60.00
Fractional positions:
1 Ru 0.500 0.500 0.500
2 Eu 0.891 0.891 0.327
3 Ca 0.000 0.000 0.000
4 Eu 0.109 0.109 0.673

<B>
First-principles (PBE-GGA) data for a geometry-optimized CaEu2Ru structure, as listed in Alexandria.

Values from the calculation:
Total moment in μB per cell: 14.07
Density in Mg/m³: 6.103

abc: 3.556 3.556 9.576
angles: 90.00 90.00 90.00
Fractional positions:
1 Eu 0.000 0.000 0.823
2 Eu 0.000 0.000 0.177
3 Ca 0.500 0.500 0.500
4 Ru 0.500 0.500 0.000

Energy relative to the most stable one, in meV per atom: <A> 198; <B> 0